1.
A plane-wave DFT calculation with PBE was carried out for an optimized crystal structure of Tb7Sm3Th.

Results
- D(E_F) (states/eV/f.u.) = 17.160
- calculated formation energy (eV/atom) = 0.1801
- final energy (eV per cell) = -52.008
- symmetry = No. 156
- size of the total moment (μB/atom) = 0.000

Lattice parameters (Å, degrees): 8.7144 7.0847 7.0847 120.00 90.00 90.00
Sites, in units of the cell vectors:
Tb  0.1214  0.1692  0.8308
Tb  0.1214  0.1692  0.3385
Tb  0.1191  0.6667  0.3333
Tb  0.4476  0.8325  0.1675
Tb  0.4476  0.3350  0.1675
Tb  0.4476  0.8325  0.6650
Tb  0.1214  0.6615  0.8308
Sm  0.7806  0.4981  0.5019
Sm  0.7806  0.4981  0.9961
Sm  0.7806  0.0039  0.5019
Th  0.4472  0.3333  0.6667

=====

2.
A plane-wave DFT calculation with PBE was carried out for an optimized crystal structure of Tb7Sm3Th.

Results
- D(E_F) (states/eV/f.u.) = 17.674
- calculated formation energy (eV/atom) = 0.1610
- final energy (eV per cell) = -104.437
- symmetry = No. 12
- size of the total moment (μB/atom) = 0.000

Lattice parameters (Å, degrees): 9.9614 9.9614 13.2830 100.93 100.93 138.76
Sites, in units of the cell vectors:
Tb  0.0875  0.9147  0.2505
Tb  0.0853  0.9125  0.7495
Tb  0.1206  0.4413  0.5286
Tb  0.1195  0.4399  0.0276
Tb  0.5601  0.8805  0.9724
Tb  0.5587  0.8794  0.4714
Tb  0.4998  0.4998  0.7500
Tb  0.5002  0.5002  0.2500
Tb  0.4399  0.1195  0.0276
Tb  0.4413  0.1206  0.5286
Tb  0.8805  0.5601  0.9724
Tb  0.8794  0.5587  0.4714
Tb  0.9147  0.0875  0.2505
Tb  0.9125  0.0853  0.7495
Sm  0.0009  0.5003  0.7508
Sm  0.0000  0.0000  0.0000
Sm  0.0000  0.0000  0.5000
Sm  0.4997  0.9991  0.2492
Sm  0.5003  0.0009  0.7508
Sm  0.9991  0.4997  0.2492
Th  0.5000  0.5000  0.0000
Th  0.5000  0.5000  0.5000

=====

3.
A plane-wave DFT calculation with PBE was carried out for an optimized crystal structure of Tb2SmTh.

Results
- D(E_F) (states/eV/f.u.) = 6.076
- calculated formation energy (eV/atom) = 0.0112
- final energy (eV per cell) = -21.355
- symmetry = No. 160
- size of the total moment (μB/atom) = 0.000

Lattice parameters (Å, degrees): 3.6028 3.6028 11.7436 81.18 81.18 60.00
Sites, in units of the cell vectors:
Tb  0.0812  0.0812  0.7565
Tb  0.2519  0.2519  0.2442
Sm  0.5004  0.5004  0.4987
Th  0.6664  0.6664  0.0007

=====

4.
A plane-wave DFT calculation with PBE was carried out for an optimized crystal structure of Tb12SmTh7.

Results
- D(E_F) (states/eV/f.u.) = 39.867
- calculated formation energy (eV/atom) = 0.9308
- final energy (eV per cell) = -93.605
- symmetry = No. 204
- size of the total moment (μB/atom) = 0.000

Lattice parameters (Å, degrees): 10.0159 10.0159 10.0159 109.47 109.47 109.47
Sites, in units of the cell vectors:
Tb  0.4869  0.7459  0.7410
Tb  0.0049  0.7459  0.2590
Tb  0.5131  0.2541  0.2590
Tb  0.9951  0.2541  0.7410
Tb  0.7410  0.9951  0.2541
Tb  0.7410  0.4869  0.7459
Tb  0.2590  0.0049  0.7459
Tb  0.2590  0.5131  0.2541
Tb  0.7459  0.7410  0.4869
Tb  0.2541  0.2590  0.5131
Tb  0.7459  0.2590  0.0049
Tb  0.2541  0.7410  0.9951
Sm  0.0000  0.0000  0.0000
Th  0.5000  0.5000  0.0000
Th  0.0000  0.5000  0.5000
Th  0.5000  0.0000  0.5000
Th  0.5000  0.5000  0.5000
Th  0.0000  0.0000  0.5000
Th  0.5000  0.0000  0.0000
Th  0.0000  0.5000  0.0000

=====

5.
A plane-wave DFT calculation with PBE was carried out for an optimized crystal structure of Tb2Sm9Th.

Results
- D(E_F) (states/eV/f.u.) = 18.455
- calculated formation energy (eV/atom) = 0.0293
- final energy (eV per cell) = -58.801
- symmetry = No. 123
- size of the total moment (μB/atom) = 0.000

Lattice parameters (Å, degrees): 5.1065 5.1065 15.3324 90.00 90.00 90.00
Sites, in units of the cell vectors:
Tb  0.0000  0.0000  0.3333
Tb  0.0000  0.0000  0.6667
Sm  0.5000  0.5000  0.0000
Sm  0.5000  0.5000  0.3346
Sm  0.5000  0.5000  0.6654
Sm  0.5000  0.0000  0.1647
Sm  0.5000  0.0000  0.5000
Sm  0.5000  0.0000  0.8353
Sm  0.0000  0.5000  0.1647
Sm  0.0000  0.5000  0.5000
Sm  0.0000  0.5000  0.8353
Th  0.0000  0.0000  0.0000

=====

6.
A plane-wave DFT calculation with PBE was carried out for an optimized crystal structure of Tb4Sm8Th.

Results
- D(E_F) (states/eV/f.u.) = 14.740
- calculated formation energy (eV/atom) = 0.2299
- final energy (eV per cell) = -60.705
- symmetry = No. 166
- size of the total moment (μB/atom) = 0.000

Lattice parameters (Å, degrees): 7.3855 7.3855 10.2944 89.99 111.02 120.02
Sites, in units of the cell vectors:
Tb  0.0000  0.0000  0.0000
Tb  0.0000  0.5000  0.0000
Tb  0.5000  0.5000  0.0000
Tb  0.5000  0.0000  0.0000
Sm  0.5688  0.7845  0.3534
Sm  0.4312  0.2155  0.6466
Sm  0.4949  0.2475  0.2964
Sm  0.9511  0.1986  0.7037
Sm  0.5051  0.7525  0.7036
Sm  0.9510  0.7526  0.7036
Sm  0.0490  0.2474  0.2964
Sm  0.0489  0.8014  0.2963
Th  0.0000  0.5000  0.5000

=====

7.
A plane-wave DFT calculation with PBE was carried out for an optimized crystal structure of Tb2Sm4Th3.

Results
- D(E_F) (states/eV/f.u.) = 18.220
- calculated formation energy (eV/atom) = 0.0855
- final energy (eV per cell) = -49.627
- symmetry = No. 156
- size of the total moment (μB/atom) = 0.000

Lattice parameters (Å, degrees): 3.5806 3.5806 26.8824 90.00 90.00 120.00
Sites, in units of the cell vectors:
Tb  0.6667  0.3333  0.0888
Tb  0.6667  0.3333  0.8739
Sm  0.0000  0.0000  0.5446
Sm  0.6667  0.3333  0.4319
Sm  0.6667  0.3333  0.2143
Sm  0.0000  0.0000  0.7643
Th  0.0000  0.0000  0.9835
Th  0.0000  0.0000  0.3216
Th  0.6667  0.3333  0.6542

=====

8.
A plane-wave DFT calculation with PBE was carried out for an optimized crystal structure of Tb4SmTh2.

Results
- D(E_F) (states/eV/f.u.) = 12.319
- calculated formation energy (eV/atom) = 0.0997
- final energy (eV per cell) = -37.382
- symmetry = No. 2
- size of the total moment (μB/atom) = 0.000

Lattice parameters (Å, degrees): 3.5160 9.5280 8.7787 121.94 78.51 111.63
Sites, in units of the cell vectors:
Tb  0.4094  0.7054  0.5895
Tb  0.7998  0.1532  0.7092
Tb  0.5906  0.2946  0.4105
Tb  0.2002  0.8468  0.2908
Sm  0.0000  0.0000  0.0000
Th  0.3687  0.4371  0.1385
Th  0.6313  0.5629  0.8615

=====

9.
A plane-wave DFT calculation with PBE was carried out for an optimized crystal structure of TbSm9Th2.

Results
- D(E_F) (states/eV/f.u.) = 15.981
- calculated formation energy (eV/atom) = 0.0404
- final energy (eV per cell) = -61.458
- symmetry = No. 123
- size of the total moment (μB/atom) = 0.000

Lattice parameters (Å, degrees): 5.1045 5.1045 15.3277 90.00 90.00 90.00
Sites, in units of the cell vectors:
Tb  0.0000  0.0000  0.0000
Sm  0.5000  0.5000  0.0000
Sm  0.5000  0.5000  0.3331
Sm  0.5000  0.5000  0.6669
Sm  0.5000  0.0000  0.1685
Sm  0.5000  0.0000  0.5000
Sm  0.5000  0.0000  0.8315
Sm  0.0000  0.5000  0.1685
Sm  0.0000  0.5000  0.5000
Sm  0.0000  0.5000  0.8315
Th  0.0000  0.0000  0.3336
Th  0.0000  0.0000  0.6664

=====

10.
A plane-wave DFT calculation with PBE was carried out for an optimized crystal structure of Tb3Sm5Th.

Results
- D(E_F) (states/eV/f.u.) = 13.513
- calculated formation energy (eV/atom) = 0.3063
- final energy (eV per cell) = -84.299
- symmetry = No. 140
- size of the total moment (μB/atom) = 0.000

Lattice parameters (Å, degrees): 7.9095 7.9095 11.2199 110.64 110.64 90.00
Sites, in units of the cell vectors:
Tb  0.6302  0.1302  0.0000
Tb  0.3698  0.8698  0.0000
Tb  0.8698  0.6302  0.0000
Tb  0.1302  0.3698  0.0000
Tb  0.2500  0.2500  0.5000
Tb  0.7500  0.7500  0.5000
Sm  0.0741  0.5741  0.7352
Sm  0.6612  0.1612  0.7352
Sm  0.1612  0.0741  0.7352
Sm  0.5741  0.6612  0.7352
Sm  0.9259  0.4259  0.2648
Sm  0.3388  0.8388  0.2648
Sm  0.8388  0.9259  0.2648
Sm  0.4259  0.3388  0.2648
Sm  0.5000  0.5000  0.0000
Sm  0.0000  0.0000  0.0000
Th  0.7500  0.2500  0.5000
Th  0.2500  0.7500  0.5000

=====

11.
A plane-wave DFT calculation with PBE was carried out for an optimized crystal structure of Tb8SmTh2.

Results
- D(E_F) (states/eV/f.u.) = 14.288
- calculated formation energy (eV/atom) = 0.1974
- final energy (eV per cell) = -54.429
- symmetry = No. 2
- size of the total moment (μB/atom) = 0.000

Lattice parameters (Å, degrees): 5.9658 7.5664 9.2671 111.61 105.63 97.34
Sites, in units of the cell vectors:
Tb  0.1569  0.3363  0.2358
Tb  0.9216  0.1004  0.7638
Tb  0.7184  0.4251  0.9995
Tb  0.7077  0.2079  0.4161
Tb  0.2923  0.7921  0.5839
Tb  0.2816  0.5749  0.0005
Tb  0.0784  0.8996  0.2362
Tb  0.8431  0.6637  0.7642
Sm  0.5000  0.0000  0.0000
Th  0.6932  0.6925  0.3858
Th  0.3068  0.3075  0.6142

=====

12.
A plane-wave DFT calculation with PBE was carried out for an optimized crystal structure of Tb2SmTh.

Results
- D(E_F) (states/eV/f.u.) = 5.423
- calculated formation energy (eV/atom) = 0.1861
- final energy (eV per cell) = -20.655
- symmetry = No. 166
- size of the total moment (μB/atom) = 0.000

Lattice parameters (Å, degrees): 3.4708 3.4708 12.7252 82.16 82.16 60.00
Sites, in units of the cell vectors:
Tb  0.0895  0.0895  0.7316
Tb  0.9105  0.9105  0.2684
Sm  0.5000  0.5000  0.5000
Th  0.0000  0.0000  0.0000

=====

13.
A plane-wave DFT calculation with PBE was carried out for an optimized crystal structure of TbSm8Th2.

Results
- D(E_F) (states/eV/f.u.) = 14.241
- calculated formation energy (eV/atom) = 0.1967
- final energy (eV per cell) = -55.060
- symmetry = No. 12
- size of the total moment (μB/atom) = 0.000

Lattice parameters (Å, degrees): 6.0205 7.6430 9.3612 111.40 105.46 97.74
Sites, in units of the cell vectors:
Tb  0.5000  0.0000  0.0000
Sm  0.1567  0.3342  0.2339
Sm  0.9229  0.1003  0.7661
Sm  0.7146  0.4215  0.0000
Sm  0.7074  0.2074  0.4148
Sm  0.2926  0.7926  0.5852
Sm  0.2854  0.5785  0.0000
Sm  0.0771  0.8997  0.2339
Sm  0.8433  0.6658  0.7661
Th  0.6928  0.6928  0.3855
Th  0.3072  0.3072  0.6145

=====

14.
A plane-wave DFT calculation with PBE was carried out for an optimized crystal structure of Tb2Sm8Th3.

Results
- D(E_F) (states/eV/f.u.) = 22.603
- calculated formation energy (eV/atom) = 0.2627
- final energy (eV per cell) = -65.858
- symmetry = No. 12
- size of the total moment (μB/atom) = 0.000

Lattice parameters (Å, degrees): 5.6923 7.8824 10.8335 111.33 90.02 90.00
Sites, in units of the cell vectors:
Tb  0.4994  0.2405  0.4811
Tb  0.5006  0.7595  0.5189
Sm  0.0005  0.6691  0.3381
Sm  0.9995  0.3309  0.6619
Sm  0.9997  0.1289  0.2577
Sm  0.0003  0.8711  0.7423
Sm  0.4999  0.5994  0.7866
Sm  0.4999  0.1872  0.7866
Sm  0.5001  0.8128  0.2134
Sm  0.5001  0.4006  0.2134
Th  0.5000  0.0000  0.0000
Th  0.0000  0.2921  0.0000
Th  0.0000  0.7079  0.0000

=====

15.
A plane-wave DFT calculation with PBE was carried out for an optimized crystal structure of TbSm2Th2.

Results
- D(E_F) (states/eV/f.u.) = 7.730
- calculated formation energy (eV/atom) = 0.4523
- final energy (eV per cell) = -53.293
- symmetry = No. 70
- size of the total moment (μB/atom) = 0.000

Lattice parameters (Å, degrees): 8.6491 8.6491 11.7545 91.72 91.72 156.71
Sites, in units of the cell vectors:
Tb  0.7500  0.2500  0.5000
Tb  0.5000  0.5000  0.0000
Sm  0.4207  0.5793  0.5000
Sm  0.1707  0.8293  0.0000
Sm  0.0793  0.9207  0.5000
Sm  0.8293  0.1707  0.0000
Th  0.1250  0.3750  0.7500
Th  0.6250  0.3750  0.2500
Th  0.6250  0.3750  0.7500
Th  0.6250  0.8750  0.2500

=====

16.
A plane-wave DFT calculation with PBE was carried out for an optimized crystal structure of Tb4Sm19Th6.

Results
- D(E_F) (states/eV/f.u.) = 41.030
- calculated formation energy (eV/atom) = 0.4049
- final energy (eV per cell) = -140.962
- symmetry = No. 197
- size of the total moment (μB/atom) = 0.000

Lattice parameters (Å, degrees): 10.9056 10.9057 10.9056 109.47 109.47 109.47
Sites, in units of the cell vectors:
Tb  0.0000  0.0000  0.6431
Tb  0.0000  0.6431  0.0000
Tb  0.3569  0.3569  0.3569
Tb  0.6431  0.0000  0.0000
Sm  0.7336  0.0000  0.7336
Sm  0.2664  0.0000  0.2664
Sm  0.2664  0.2664  0.0000
Sm  0.7336  0.7336  0.0000
Sm  0.0000  0.7336  0.7336
Sm  0.0000  0.2664  0.2664
Sm  0.0000  0.0000  0.0000
Sm  0.1941  0.2154  0.5393
Sm  0.8059  0.3452  0.0213
Sm  0.6761  0.6548  0.4607
Sm  0.0213  0.8059  0.3452
Sm  0.3239  0.7846  0.9787
Sm  0.5393  0.1941  0.2154
Sm  0.9787  0.3239  0.7846
Sm  0.4607  0.6761  0.6548
Sm  0.7846  0.9787  0.3239
Sm  0.3452  0.0213  0.8059
Sm  0.2154  0.5393  0.1941
Sm  0.6548  0.4607  0.6761
Th  0.3702  0.5000  0.8702
Th  0.6298  0.5000  0.1298
Th  0.1298  0.6298  0.5000
Th  0.8702  0.3702  0.5000
Th  0.5000  0.8702  0.3702
Th  0.5000  0.1298  0.6298

=====

17.
A plane-wave DFT calculation with PBE was carried out for an optimized crystal structure of TbSm4Th.

Results
- D(E_F) (states/eV/f.u.) = 10.453
- calculated formation energy (eV/atom) = 0.6589
- final energy (eV per cell) = -26.973
- symmetry = No. 65
- size of the total moment (μB/atom) = 0.000

Lattice parameters (Å, degrees): 3.4437 8.3410 8.3409 91.23 90.00 90.00
Sites, in units of the cell vectors:
Tb  0.0000  0.5000  0.5000
Sm  0.5000  0.2668  0.7333
Sm  0.0000  0.7630  0.7630
Sm  0.0000  0.2370  0.2370
Sm  0.5000  0.7332  0.2667
Th  0.5000  0.0000  0.0000

=====

18.
A plane-wave DFT calculation with PBE was carried out for an optimized crystal structure of Tb2Sm7Th2.

Results
- D(E_F) (states/eV/f.u.) = 15.418
- calculated formation energy (eV/atom) = 0.1847
- final energy (eV per cell) = -55.103
- symmetry = No. 12
- size of the total moment (μB/atom) = 0.000

Lattice parameters (Å, degrees): 8.7316 6.0515 8.7316 63.97 97.23 116.03
Sites, in units of the cell vectors:
Tb  0.2275  0.8601  0.7725
Tb  0.7725  0.1399  0.2275
Sm  0.4084  0.1862  0.0503
Sm  0.0503  0.8138  0.4084
Sm  0.5916  0.8138  0.9497
Sm  0.9497  0.1862  0.5916
Sm  0.5772  0.3548  0.4228
Sm  0.0000  0.0000  0.0000
Sm  0.4228  0.6452  0.5772
Th  0.7861  0.5000  0.7861
Th  0.2139  0.5000  0.2139

=====

19.
A plane-wave DFT calculation with PBE was carried out for an optimized crystal structure of Tb8Sm3Th2.

Results
- D(E_F) (states/eV/f.u.) = 22.106
- calculated formation energy (eV/atom) = 0.2732
- final energy (eV per cell) = -62.487
- symmetry = No. 12
- size of the total moment (μB/atom) = 0.000

Lattice parameters (Å, degrees): 5.7200 7.4099 11.0075 109.64 90.02 90.00
Sites, in units of the cell vectors:
Tb  0.0003  0.6699  0.3398
Tb  0.9997  0.3301  0.6602
Tb  0.9997  0.1393  0.2787
Tb  0.0003  0.8607  0.7213
Tb  0.5001  0.6059  0.7814
Tb  0.5001  0.1756  0.7814
Tb  0.4999  0.8244  0.2186
Tb  0.4999  0.3941  0.2186
Sm  0.5000  0.0000  0.0000
Sm  0.0000  0.2806  0.9999
Sm  0.0000  0.7194  0.0001
Th  0.4995  0.2449  0.4897
Th  0.5005  0.7551  0.5103

=====

20.
A plane-wave DFT calculation with PBE was carried out for an optimized crystal structure of Tb4Sm4Th.

Results
- D(E_F) (states/eV/f.u.) = 13.077
- calculated formation energy (eV/atom) = 0.0268
- final energy (eV per cell) = -44.577
- symmetry = No. 139
- size of the total moment (μB/atom) = 0.000

Lattice parameters (Å, degrees): 5.0871 8.0354 8.0354 84.25 71.55 71.55
Sites, in units of the cell vectors:
Tb  0.6635  0.6730  0.9999
Tb  0.3365  0.3270  0.0001
Tb  0.6635  0.0001  0.6730
Tb  0.3365  0.9999  0.3270
Sm  0.6699  0.3301  0.3300
Sm  0.3301  0.6699  0.6700
Sm  0.0000  0.6700  0.3301
Sm  0.0000  0.3300  0.6699
Th  0.0000  0.0000  0.0000